Record 1
VASP calculation (PBE) on crystalline Sr5TcN6 at its relaxed geometry.

a = 6.1658 Å, b = 6.2282 Å, c = 6.2449 Å
α = 60.09°, β = 80.34°, γ = 70.34°
Fractional coordinates of all 12 atoms:
Sr (0.5000, 0.1604, 0.6793)
Sr (0.0000, 0.3333, 0.3334)
Sr (0.5000, 0.5000, 0.0000)
Sr (0.0000, 0.6667, 0.6666)
Sr (0.5000, 0.8396, 0.3207)
Tc (0.0000, 0.0000, 0.0000)
N (0.7883, 0.0710, 0.2724)
N (0.2117, 0.6566, 0.2724)
N (0.2098, 0.2063, 0.0000)
N (0.7902, 0.7937, 0.0000)
N (0.7883, 0.3434, 0.7276)
N (0.2117, 0.9290, 0.7276)


Record 2
VASP calculation (PBE) on crystalline Sr8Tc3N8 at its relaxed geometry.

a = 5.3794 Å, b = 7.6976 Å, c = 10.0008 Å
α = 105.60°, β = 105.60°, γ = 90.00°
Fractional coordinates of all 19 atoms:
Sr (0.0258, 0.2630, 0.0517)
Sr (0.9742, 0.7370, 0.9483)
Sr (0.3354, 0.5322, 0.6708)
Sr (0.6646, 0.4678, 0.3292)
Sr (0.4009, 0.0494, 0.8017)
Sr (0.5991, 0.9506, 0.1983)
Sr (0.1988, 0.7970, 0.3977)
Sr (0.8012, 0.2030, 0.6023)
Tc (0.5000, 0.5000, 0.0000)
Tc (0.1867, 0.2033, 0.3734)
Tc (0.8133, 0.7967, 0.6266)
N (0.1032, 0.0034, 0.2064)
N (0.8968, 0.9966, 0.7936)
N (0.1769, 0.4352, 0.3538)
N (0.8231, 0.5648, 0.6462)
N (0.2795, 0.1707, 0.5590)
N (0.7205, 0.8293, 0.4410)
N (0.4744, 0.7164, 0.9489)
N (0.5256, 0.2836, 0.0511)


Record 3
VASP calculation (PBE) on crystalline Sr2Tc2N at its relaxed geometry.

a = 6.9112 Å, b = 6.9112 Å, c = 5.4352 Å
α = 90.00°, β = 90.00°, γ = 90.00°
Fractional coordinates of all 10 atoms:
Sr (0.3168, 0.8168, 0.0000)
Sr (0.8168, 0.6832, 0.0000)
Sr (0.6832, 0.1832, 0.0000)
Sr (0.1832, 0.3168, 0.0000)
Tc (0.1078, 0.6078, 0.5000)
Tc (0.6078, 0.8922, 0.5000)
Tc (0.8922, 0.3922, 0.5000)
Tc (0.3922, 0.1078, 0.5000)
N (0.0000, 0.0000, 0.0000)
N (0.5000, 0.5000, 0.0000)

## Properties
ΔE to the lowest computed polymorph (eV/atom): 0.866


Record 4
VASP calculation (PBE) on crystalline Sr2Tc2N3 at its relaxed geometry.

a = 3.4832 Å, b = 5.9743 Å, c = 6.1649 Å
α = 116.97°, β = 106.41°, γ = 90.00°
Fractional coordinates of all 7 atoms:
Sr (0.6036, 0.8150, 0.2072)
Sr (0.3964, 0.1850, 0.7928)
Tc (0.8356, 0.6721, 0.6711)
Tc (0.1645, 0.3279, 0.3289)
N (0.0000, 0.0000, 0.0000)
N (0.7457, 0.2802, 0.4913)
N (0.2543, 0.7198, 0.5087)


no.,uncorrected formation energy (eV/atom),N(E_F) (states/eV/f.u.)
1,-0.33,9.3
2,-0.63,6.8
3,1.18,3.9
4,-0.46,3.7